Cu3Re | GGA-PBE | relaxed

## Properties
Total magnetization   1.6 Bohr magnetons per cell
DFT total energy   -45.47 eV per cell
E_form   0.501 eV per atom

a = 4.231 Å, b = 5.344 Å, c = 4.517 Å
α = 90.00°, β = 90.00°, γ = 90.00°
Space group Pmmn (No. 59, origin choice 2)
Inequivalent atoms, fractional coordinates:
Cu  0.250  0.000  0.165 x4
Cu  0.250  0.250  0.680 x2
Re  0.250  0.750  0.661 x2


Cu3Re | GGA-PBE | relaxed

## Properties
Total magnetization   0.0 Bohr magnetons per cell
DFT total energy   -47.22 eV per cell
E_form   0.282 eV per atom

a = 5.357 Å, b = 7.745 Å, c = 2.496 Å
α = 90.00°, β = 90.00°, γ = 90.00°
Space group Cmmm (No. 65)
Inequivalent atoms, fractional coordinates:
Cu  0.000  0.000  0.000 x2
Cu  0.250  0.250  0.500 x4
Re  0.000  0.500  0.000 x2


CuRe | GGA-PBE | relaxed

## Properties
Total magnetization   0.0 Bohr magnetons per cell
Energy relative to the lowest polymorph listed for this composition   0.222 eV/atom
DFT total energy   -126.47 eV per cell
E_form   0.368 eV per atom

a = 6.045 Å, b = 6.045 Å, c = 6.045 Å
α = 90.00°, β = 90.00°, γ = 90.00°
Space group I2_13 (No. 199)
Inequivalent atoms, fractional coordinates:
Cu  0.207  0.293  0.707 x8
Re  0.041  0.041  0.041 x8


CuRe2 | GGA-PBE | relaxed

## Properties
Total magnetization   0.0 Bohr magnetons per cell
Energy relative to the lowest polymorph listed for this composition   0.226 eV/atom
DFT total energy   -111.65 eV per cell
E_form   0.360 eV per atom

a = 5.996 Å, b = 5.996 Å, c = 4.668 Å
α = 90.00°, β = 90.00°, γ = 90.00°
Space group I4/mcm (No. 140)
Inequivalent atoms, fractional coordinates:
Cu  0.000  0.000  0.250 x4
Re  0.146  0.354  0.000 x8


CuRe2 | GGA-PBE | relaxed

## Properties
Total magnetization   0.0 Bohr magnetons per cell
Energy relative to the lowest polymorph listed for this composition   0.104 eV/atom
DFT total energy   -113.11 eV per cell
E_form   0.238 eV per atom

a = 3.943 Å, b = 11.040 Å, c = 3.927 Å
α = 90.00°, β = 90.00°, γ = 90.00°
Space group Cmcm (No. 63)
Inequivalent atoms, fractional coordinates:
Cu  0.000  0.079  0.250 x4
Re  0.000  0.247  0.750 x4
Re  0.000  0.409  0.250 x4


CuRe2 | GGA-PBE | relaxed

## Properties
Total magnetization   0.0 Bohr magnetons per cell
Energy relative to the lowest polymorph listed for this composition   0.066 eV/atom
DFT total energy   -28.39 eV per cell
E_form   0.200 eV per atom

a = 2.7560 Å, b = 2.7560 Å, c = 6.5886 Å
α = 90.00°, β = 90.00°, γ = 120.00°
Space group P-3m1 (No. 164)
Inequivalent atoms, fractional coordinates:
Cu  0.0000  0.0000  0.0000 x1
Re  0.3333  0.6667  0.3389 x2


CuRe | GGA-PBE | relaxed

## Properties
Total magnetization   0.0 Bohr magnetons per cell
Energy relative to the lowest polymorph listed for this composition   0.374 eV/atom
DFT total energy   -15.50 eV per cell
E_form   0.520 eV per atom

a = 3.187 Å, b = 3.187 Å, c = 2.644 Å
α = 90.00°, β = 90.00°, γ = 90.00°
Space group P4/mmm (No. 123)
Inequivalent atoms, fractional coordinates:
Cu  0.000  0.000  0.000 x1
Re  0.500  0.500  0.500 x1


Cu3Re | GGA-PBE | relaxed

## Properties
Total magnetization   0.0 Bohr magnetons per cell
DFT total energy   -23.98 eV per cell
E_form   0.188 eV per atom

a = 2.586 Å, b = 2.586 Å, c = 7.666 Å
α = 90.00°, β = 90.00°, γ = 90.00°
Space group P4/mmm (No. 123)
Inequivalent atoms, fractional coordinates:
Cu  0.000  0.000  0.000 x1
Cu  0.500  0.500  0.239 x2
Re  0.000  0.000  0.500 x1


Cu4Re3 | GGA-PBE | relaxed

## Properties
Total magnetization   0.0 Bohr magnetons per cell
Energy relative to the lowest polymorph listed for this composition   0.252 eV/atom
DFT total energy   -50.01 eV per cell
E_form   0.532 eV per atom

a = 5.0548 Å, b = 5.0548 Å, c = 4.6779 Å
α = 90.00°, β = 90.00°, γ = 120.00°
Space group P6/mmm (No. 191)
Inequivalent atoms, fractional coordinates:
Cu  0.0000  0.0000  0.2466 x2
Cu  0.3333  0.6667  0.5000 x2
Re  0.0000  0.5000  0.0000 x3


CuRe | GGA-PBE | relaxed

## Properties
Total magnetization   0.0 Bohr magnetons per cell
Energy relative to the lowest polymorph listed for this composition   0.214 eV/atom
DFT total energy   -31.65 eV per cell
E_form   0.360 eV per atom

a = 3.343 Å, b = 3.914 Å, c = 4.187 Å
α = 90.00°, β = 90.00°, γ = 90.00°
Space group Cmmm (No. 65)
Inequivalent atoms, fractional coordinates:
Cu  0.000  0.000  0.000 x2
Re  0.000  0.500  0.500 x2


Cu2Re3 | GGA-PBE | relaxed

## Properties
Total magnetization   0.0 Bohr magnetons per cell
Energy relative to the lowest polymorph listed for this composition   0.111 eV/atom
DFT total energy   -349.07 eV per cell
E_form   0.381 eV per atom

a = 9.009 Å, b = 13.140 Å, c = 4.741 Å
α = 90.00°, β = 90.00°, γ = 90.00°
Space group Fdd2 (No. 43)
Inequivalent atoms, fractional coordinates:
Cu  0.014  0.203  0.000 x16
Re  0.000  0.000  0.028 x8
Re  0.022  0.095  0.517 x16


CuRe | GGA-PBE | relaxed

## Properties
Total magnetization   0.0 Bohr magnetons per cell
Energy relative to the lowest polymorph listed for this composition   1.334 eV/atom
DFT total energy   -54.34 eV per cell
E_form   1.479 eV per atom

a = 4.930 Å, b = 4.930 Å, c = 4.930 Å
α = 90.00°, β = 90.00°, γ = 90.00°
Space group Fm-3m (No. 225)
Inequivalent atoms, fractional coordinates:
Cu  0.000  0.000  0.000 x4
Re  0.000  0.000  0.500 x4


Cu3Re | GGA-PBE | relaxed

## Properties
Total magnetization   0.0 Bohr magnetons per cell
DFT total energy   -47.09 eV per cell
E_form   0.298 eV per atom

a = 8.742 Å, b = 2.528 Å, c = 4.713 Å
α = 90.00°, β = 98.44°, γ = 90.00°
Space group C2/m (No. 12)
Inequivalent atoms, fractional coordinates:
Cu  0.000  0.000  0.000 x2
Cu  0.249  0.500  0.248 x4
Re  0.000  0.500  0.500 x2


Cu3Re | GGA-PBE | relaxed

## Properties
Total magnetization   0.0 Bohr magnetons per cell
DFT total energy   -91.58 eV per cell
E_form   0.461 eV per atom

a = 3.818 Å, b = 3.818 Å, c = 14.019 Å
α = 90.00°, β = 90.00°, γ = 90.00°
Space group I4/mmm (No. 139)
Inequivalent atoms, fractional coordinates:
Cu  0.000  0.000  0.128 x4
Cu  0.000  0.500  0.000 x4
Cu  0.000  0.500  0.250 x4
Re  0.000  0.000  0.376 x4


CuRe2 | GGA-PBE | relaxed

## Properties
Total magnetization   0.0 Bohr magnetons per cell
Energy relative to the lowest polymorph listed for this composition   0.125 eV/atom
DFT total energy   -112.87 eV per cell
E_form   0.258 eV per atom

a = 5.400 Å, b = 3.888 Å, c = 8.163 Å
α = 90.00°, β = 90.00°, γ = 90.00°
Space group Pnma (No. 62)
Inequivalent atoms, fractional coordinates:
Cu  0.117  0.250  0.081 x4
Re  0.113  0.250  0.732 x4
Re  0.121  0.250  0.412 x4


CuRe | GGA-PBE | relaxed

## Properties
Total magnetization   0.0 Bohr magnetons per cell
Energy relative to the lowest polymorph listed for this composition   0.027 eV/atom
DFT total energy   -97.19 eV per cell
E_form   0.173 eV per atom

a = 2.7351 Å, b = 2.7351 Å, c = 25.8752 Å
α = 90.00°, β = 90.00°, γ = 120.00°
Space group R-3m (No. 166, hexagonal axes)
Inequivalent atoms, fractional coordinates:
Cu  0.0000  0.0000  0.1279 x6
Re  0.0000  0.0000  0.3749 x6


CuRe5 | GGA-PBE | relaxed

## Properties
Total magnetization   0.0 Bohr magnetons per cell
Energy relative to the lowest polymorph listed for this composition   0.000 eV/atom
DFT total energy   -131.52 eV per cell
E_form   0.096 eV per atom

a = 4.412 Å, b = 2.779 Å, c = 14.297 Å
α = 90.00°, β = 90.00°, γ = 90.00°
Space group Amm2 (No. 38)
Inequivalent atoms, fractional coordinates:
Cu  0.000  0.000  0.000 x2
Re  0.000  0.000  0.338 x2
Re  0.000  0.000  0.668 x2
Re  0.500  0.000  0.111 x2
Re  0.500  0.000  0.447 x2
Re  0.500  0.000  0.778 x2


CuRe2 | GGA-PBE | relaxed

## Properties
Total magnetization   0.0 Bohr magnetons per cell
Energy relative to the lowest polymorph listed for this composition   0.529 eV/atom
DFT total energy   -108.01 eV per cell
E_form   0.663 eV per atom

a = 5.1857 Å, b = 5.1857 Å, c = 8.2492 Å
α = 90.00°, β = 90.00°, γ = 120.00°
Space group P6_3/mmc (No. 194)
Inequivalent atoms, fractional coordinates:
Cu  0.3333  0.6667  0.0854 x4
Re  0.0000  0.0000  0.0000 x2
Re  0.1741  0.3483  0.7500 x6


CuRe | GGA-PBE | relaxed

## Properties
Total magnetization   0.0 Bohr magnetons per cell
Energy relative to the lowest polymorph listed for this composition   0.122 eV/atom
DFT total energy   -64.04 eV per cell
E_form   0.268 eV per atom

a = 8.975 Å, b = 2.593 Å, c = 4.755 Å
α = 90.00°, β = 96.95°, γ = 90.00°
Space group C2/m (No. 12)
Inequivalent atoms, fractional coordinates:
Cu  0.125  0.000  0.394 x4
Re  0.122  0.500  0.888 x4


CuRe | GGA-PBE | relaxed

## Properties
Total magnetization   0.0 Bohr magnetons per cell
Energy relative to the lowest polymorph listed for this composition   0.120 eV/atom
DFT total energy   -32.03 eV per cell
E_form   0.266 eV per atom

a = 2.782 Å, b = 2.782 Å, c = 7.066 Å
α = 90.00°, β = 90.00°, γ = 90.00°
Space group P4/nmm (No. 129, origin choice 2)
Inequivalent atoms, fractional coordinates:
Cu  0.250  0.250  0.110 x2
Re  0.250  0.250  0.628 x2


CuRe2 | GGA-PBE | relaxed

## Properties
Total magnetization   0.0 Bohr magnetons per cell
Energy relative to the lowest polymorph listed for this composition   0.357 eV/atom
DFT total energy   -27.52 eV per cell
E_form   0.491 eV per atom

a = 4.5017 Å, b = 4.5017 Å, c = 2.5246 Å
α = 90.00°, β = 90.00°, γ = 120.00°
Space group P6/mmm (No. 191)
Inequivalent atoms, fractional coordinates:
Cu  0.0000  0.0000  0.0000 x1
Re  0.3333  0.6667  0.5000 x2


CuRe2 | GGA-PBE | relaxed

## Properties
Total magnetization   0.0 Bohr magnetons per cell
Energy relative to the lowest polymorph listed for this composition   0.035 eV/atom
DFT total energy   -56.98 eV per cell
E_form   0.168 eV per atom

a = 2.712 Å, b = 3.919 Å, c = 7.958 Å
α = 90.00°, β = 90.00°, γ = 90.00°
Space group Immm (No. 71)
Inequivalent atoms, fractional coordinates:
Cu  0.000  0.000  0.000 x2
Re  0.000  0.000  0.333 x4


CuRe | GGA-PBE | relaxed

## Properties
Total magnetization   0.0 Bohr magnetons per cell
Energy relative to the lowest polymorph listed for this composition   0.139 eV/atom
DFT total energy   -31.95 eV per cell
E_form   0.285 eV per atom

a = 4.422 Å, b = 2.604 Å, c = 4.738 Å
α = 90.00°, β = 90.00°, γ = 90.00°
Space group Pmma (No. 51)
Inequivalent atoms, fractional coordinates:
Cu  0.250  0.000  0.139 x2
Re  0.250  0.500  0.641 x2


CuRe | GGA-PBE | relaxed

## Properties
Total magnetization   0.0 Bohr magnetons per cell
Energy relative to the lowest polymorph listed for this composition   0.228 eV/atom
DFT total energy   -15.80 eV per cell
E_form   0.374 eV per atom

a = 2.593 Å, b = 2.593 Å, c = 4.057 Å
α = 90.00°, β = 90.00°, γ = 90.00°
Space group P4/mmm (No. 123)
Inequivalent atoms, fractional coordinates:
Cu  0.000  0.000  0.000 x1
Re  0.500  0.500  0.500 x1


CuRe | GGA-PBE | relaxed

## Properties
Total magnetization   0.0 Bohr magnetons per cell
Energy relative to the lowest polymorph listed for this composition   0.123 eV/atom
DFT total energy   -96.05 eV per cell
E_form   0.268 eV per atom

a = 4.317 Å, b = 7.988 Å, c = 4.716 Å
α = 90.00°, β = 90.00°, γ = 90.00°
Space group Amm2 (No. 38)
Inequivalent atoms, fractional coordinates:
Cu  0.000  0.000  0.000 x2
Cu  0.500  0.161  0.833 x4
Re  0.000  0.169  0.503 x4
Re  0.500  0.000  0.333 x2


CuRe | GGA-PBE | relaxed

## Properties
Total magnetization   0.0 Bohr magnetons per cell
Energy relative to the lowest polymorph listed for this composition   0.110 eV/atom
DFT total energy   -64.13 eV per cell
E_form   0.256 eV per atom

a = 3.472 Å, b = 4.037 Å, c = 7.673 Å
α = 90.00°, β = 90.00°, γ = 90.00°
Space group Imma (No. 74)
Inequivalent atoms, fractional coordinates:
Cu  0.000  0.250  0.135 x4
Re  0.000  0.250  0.623 x4


CuRe2 | GGA-PBE | relaxed

## Properties
Total magnetization   0.0 Bohr magnetons per cell
Energy relative to the lowest polymorph listed for this composition   0.000 eV/atom
DFT total energy   -114.37 eV per cell
E_form   0.134 eV per atom

a = 2.729 Å, b = 14.239 Å, c = 4.351 Å
α = 90.00°, β = 90.00°, γ = 90.00°
Space group Cmcm (No. 63)
Inequivalent atoms, fractional coordinates:
Cu  0.000  0.111  0.250 x4
Re  0.000  0.217  0.750 x4
Re  0.000  0.447  0.250 x4